A relaxed KAu2C crystal. Source: Alexandria via LeMat-Bulk, functional PBE-GGA.

a = 6.7171 Å, b = 6.7171 Å, c = 6.7171 Å
α = 120.62°, β = 120.62°, γ = 88.94°
Last column: nearest neighbours and their distance in Å.
Element x y z (fractional)
K (0.3750, 0.6250, 0.7500)  12 Au 3.91-3.96, 4 C 4.10, 4 K 4.10
K (0.6250, 0.3750, 0.2500)  12 Au 3.91-3.96, 4 C 4.10, 4 K 4.10
Au (0.0000, 0.0000, 0.0000)  2 C 2.05
Au (0.0000, 0.0000, 0.5000)  2 C 2.05
Au (0.0000, 0.5000, 0.0000)  2 C 2.05
Au (0.5000, 0.0000, 0.5000)  2 C 2.05
C (0.1250, 0.8750, 0.2500)  4 Au 2.05
C (0.8750, 0.1250, 0.7500)  4 Au 2.05

space group	No. 141
D(E_F)	2.10	states/eV/f.u.
energy of formation	0.388	eV/atom